La5Pm8Sn | PBE | optimized geometry

## Properties
Formation enthalpy at 0 K   48 meV/atom
DOS(E_F)   39.64 states/eV/cell

CIF file:
```
data_La5Pm8Sn
_chemical_formula_sum 'La10 Pm16 Sn2'
_cell_length_a 9.5899
_cell_length_b 9.5899
_cell_length_c 10.8199
_cell_angle_alpha 90.00
_cell_angle_beta 90.00
_cell_angle_gamma 90.00
_symmetry_space_group_name_H-M 'I -4'
_symmetry_Int_Tables_number 82
_symmetry_space_group_name_Hall 'I -4'
loop_
_atom_site_label
_atom_site_fract_x
_atom_site_fract_y
_atom_site_fract_z
La1 0.0000 0.0000 0.0000
La2 0.1108 0.7191 0.6831
Pm1 0.0709 0.6720 0.0116
Pm2 0.0816 0.8025 0.3632
Sn1 0.0000 0.5000 0.2500
```